Compound: PbW
Source: Alexandria via LeMat-Bulk
Functional: GGA-PBE
Structure: relaxed

Unit cell a=3.6542 b=3.6542 c=7.7843 alpha=90.00 beta=90.00 gamma=90.00
Positions (direct):
1 Pb 0.2500 0.2500 0.3183
2 Pb 0.7500 0.7500 0.6817
3 W 0.2500 0.7500 0.0000
4 W 0.7500 0.2500 0.0000

Energy above the lowest structure with this stoichiometry (eV/atom): 0.366
Energy relative to the elements (meV/atom): 860.6
Energy (eV per formula unit): -14.9


Compound: ScTlZn2Re
Source: Alexandria via LeMat-Bulk
Functional: GGA-PBE
Structure: relaxed

Unit cell a=4.9811 b=4.8456 c=4.9811 alpha=90.00 beta=90.00 gamma=90.00
Positions (direct):
1 Zn 0.0000 0.0000 0.5000
2 Zn 0.5000 0.0000 0.0000
3 Tl 0.5000 0.5000 0.5000
4 Sc 0.0000 0.5000 0.0000
5 Re 0.0000 0.0000 0.0000

Energy relative to the elements (meV/atom): 490.5
Energy (eV per formula unit): -21.2


Compound: NbNi15Sb4
Source: Alexandria via LeMat-Bulk
Functional: GGA-PBE
Structure: relaxed

Unit cell a=3.7256 b=3.7256 c=18.6063 alpha=90.00 beta=90.00 gamma=90.00
Positions (direct):
1 Sb 0.0000 0.0000 0.6006
2 Sb 0.0000 0.0000 0.8007
3 Sb 0.0000 0.0000 0.1993
4 Sb 0.0000 0.0000 0.3994
5 Ni 0.5000 0.5000 0.6004
6 Ni 0.5000 0.0000 0.5000
7 Ni 0.5000 0.0000 0.9043
8 Ni 0.5000 0.0000 0.2989
9 Ni 0.5000 0.0000 0.0957
10 Ni 0.5000 0.5000 0.8023
11 Ni 0.0000 0.5000 0.5000
12 Ni 0.5000 0.5000 0.3996
13 Ni 0.0000 0.5000 0.0957
14 Ni 0.0000 0.5000 0.9043
15 Ni 0.5000 0.5000 0.0000
16 Ni 0.5000 0.5000 0.1977
17 Ni 0.5000 0.0000 0.7011
18 Ni 0.0000 0.5000 0.7011
19 Ni 0.0000 0.5000 0.2989
20 Nb 0.0000 0.0000 0.0000

Energy (eV per formula unit): -116.5


Compound: TeRu2F
Source: Alexandria via LeMat-Bulk
Functional: GGA-PBE
Structure: relaxed

Unit cell a=6.6364 b=6.6364 c=5.4881 alpha=52.80 beta=52.80 gamma=90.00
Last column: magnetic moment on the atom in μB.
Positions (direct):
1 F 0.2500 0.7500 0.5000  0.02
2 F 0.5000 0.5000 0.0000  0.02
3 Te 0.7500 0.2500 0.5000  -0.01
4 Te 0.0000 0.0000 0.0000  -0.01
5 Ru 0.3750 0.4147 0.7500  0.50
6 Ru 0.8750 0.8353 0.7500  0.50
7 Ru 0.5853 0.1250 0.2500  0.50
8 Ru 0.1647 0.6250 0.2500  0.50

Energy above the lowest structure with this stoichiometry (eV/atom): 0.275
Energy (eV per formula unit): -22.7


Compound: LiCaCl
Source: Alexandria via LeMat-Bulk
Functional: GGA-PBE
Structure: relaxed

Unit cell a=5.1323 b=5.1323 c=5.1323 alpha=60.00 beta=60.00 gamma=60.00
Positions (direct):
1 Li 0.5000 0.5000 0.5000
2 Ca 0.7500 0.7500 0.7500
3 Cl 0.0000 0.0000 0.0000

Energy above the lowest structure with this stoichiometry (eV/atom): 0.620
Energy (eV per formula unit): -7.2


Compound: RbAgP2S
Source: Alexandria via LeMat-Bulk
Functional: GGA-PBE
Structure: relaxed

Unit cell a=5.6162 b=5.6162 c=5.6857 alpha=90.00 beta=90.00 gamma=90.00
Last column: magnetic moment on the atom in μB.
Positions (direct):
1 S 0.0000 0.0000 0.5000  -0.09
2 Rb 0.0000 0.0000 0.0000  -0.02
3 P 0.0000 0.5000 0.0000  0.47
4 P 0.5000 0.0000 0.0000  0.47
5 Ag 0.5000 0.5000 0.5000  0.00

Energy above the lowest structure with this stoichiometry (eV/atom): 1.332
Energy (eV per formula unit): -9.4


Compound: TaAgHg2
Source: Alexandria via LeMat-Bulk
Functional: GGA-PBE
Structure: relaxed

Unit cell a=5.8645 b=5.8645 c=5.4175 alpha=67.40 beta=67.40 gamma=27.88
Positions (direct):
1 Hg 0.9960 0.9960 0.0834
2 Hg 0.7632 0.7632 0.6504
3 Ag 0.2350 0.2350 0.1785
4 Ta 0.5057 0.5057 0.5877

Energy relative to the elements (meV/atom): 383.3
Energy (eV per formula unit): -13.8


Compound: TiCo2Sn2
Source: Alexandria via LeMat-Bulk
Functional: GGA-PBE
Structure: relaxed

Unit cell a=7.1077 b=7.1077 c=3.1531 alpha=90.00 beta=90.00 gamma=90.00
Positions (direct):
1 Co 0.3684 0.8684 0.0000
2 Co 0.1316 0.3684 0.0000
3 Co 0.8684 0.6316 0.0000
4 Co 0.6316 0.1316 0.0000
5 Sn 0.6654 0.8346 0.5000
6 Sn 0.1654 0.6654 0.5000
7 Sn 0.3346 0.1654 0.5000
8 Sn 0.8346 0.3346 0.5000
9 Ti 0.5000 0.5000 0.0000
10 Ti 0.0000 0.0000 0.0000

Energy above the lowest structure with this stoichiometry (eV/atom): 0.244
Energy relative to the elements (meV/atom): -37.6
Energy (eV per formula unit): -30.3


Compound: LiPuW2N6
Source: Alexandria via LeMat-Bulk
Functional: GGA-PBE
Structure: relaxed

Unit cell a=6.2756 b=7.1959 c=7.1959 alpha=80.17 beta=72.75 gamma=72.75
Last column: magnetic moment on the atom in μB.
Positions (direct):
1 N 0.9244 0.3789 0.3315  -0.04
2 N 0.4244 0.3315 0.3789  -0.04
3 N 0.2140 0.6286 0.0890  -0.12
4 N 0.7860 0.3714 0.9110  -0.12
5 N 0.2860 0.9110 0.3714  -0.12
6 N 0.0756 0.6211 0.6685  -0.04
7 N 0.1444 0.9883 0.7993  -0.13
8 N 0.6444 0.7993 0.9883  -0.13
9 N 0.5756 0.6685 0.6211  -0.04
10 N 0.8556 0.0117 0.2007  -0.13
11 N 0.3556 0.2007 0.0117  -0.13
12 N 0.7140 0.0890 0.6286  -0.12
13 W 0.7326 0.2056 0.3807  0.04
14 W 0.7674 0.6193 0.7944  0.04
15 W 0.2326 0.3807 0.2056  0.04
16 W 0.2674 0.7944 0.6193  0.04
17 Li 0.2500 0.2831 0.7169  0.00
18 Li 0.7500 0.7169 0.2831  0.00
19 Pu 0.2500 0.9152 0.0848  3.59
20 Pu 0.7500 0.0848 0.9152  3.59

Energy (eV per formula unit): -97.3


Compound: Mg2Zn2CuPd5
Source: Alexandria via LeMat-Bulk
Functional: GGA-PBE
Structure: relaxed

Unit cell a=3.6105 b=9.4480 c=9.4480 alpha=90.00 beta=90.00 gamma=90.00
Positions (direct):
1 Pd 0.5000 0.5771 0.6930
2 Pd 0.5000 0.3070 0.5771
3 Pd 0.5000 0.6930 0.4229
4 Pd 0.5000 0.5000 0.0000
5 Pd 0.5000 0.9229 0.1930
6 Pd 0.5000 0.4229 0.3070
7 Pd 0.5000 0.1930 0.0771
8 Pd 0.5000 0.8070 0.9229
9 Pd 0.5000 0.0771 0.8070
10 Pd 0.5000 0.0000 0.5000
11 Mg 0.0000 0.1706 0.3294
12 Mg 0.0000 0.8294 0.6706
13 Mg 0.0000 0.3294 0.8294
14 Mg 0.0000 0.6706 0.1706
15 Zn 0.0000 0.1298 0.6298
16 Zn 0.0000 0.8702 0.3702
17 Zn 0.0000 0.6298 0.8702
18 Zn 0.0000 0.3702 0.1298
19 Cu 0.0000 0.0000 0.0000
20 Cu 0.0000 0.5000 0.5000

Energy relative to the elements (meV/atom): -415.8
Energy (eV per formula unit): -40.0


Compound: Li2YCu9
Source: Alexandria via LeMat-Bulk
Functional: GGA-PBE
Structure: relaxed

Unit cell a=4.9704 b=4.9704 c=8.6122 alpha=73.23 beta=73.23 gamma=60.00
Positions (direct):
1 Cu 0.5000 0.5000 0.5000
2 Cu 0.4146 0.4146 0.2542
3 Cu 0.5854 0.5854 0.7458
4 Cu 0.5854 0.0834 0.7458
5 Cu 0.6673 0.6673 0.9980
6 Cu 0.0834 0.5854 0.7458
7 Cu 0.9166 0.4146 0.2542
8 Cu 0.4146 0.9166 0.2542
9 Cu 0.3327 0.3327 0.0020
10 Li 0.1476 0.1476 0.5571
11 Li 0.8524 0.8524 0.4429
12 Y 0.0000 0.0000 0.0000

Energy above the lowest structure with this stoichiometry (eV/atom): 0.000
Energy relative to the elements (meV/atom): -119.9
Energy (eV per formula unit): -48.6


Compound: TiGa2Cl8
Source: Alexandria via LeMat-Bulk
Functional: GGA-PBE
Structure: relaxed

Unit cell a=6.1404 b=7.8615 c=7.8615 alpha=71.24 beta=85.10 gamma=85.10
Last column: magnetic moment on the atom in μB.
Positions (direct):
1 Ti 0.0000 0.0000 0.0000  1.55
2 Cl 0.2288 0.9076 0.2729  0.00
3 Cl 0.7360 0.1655 0.1655  0.00
4 Cl 0.2574 0.3475 0.3475  0.01
5 Cl 0.2288 0.2729 0.9076  0.00
6 Cl 0.7712 0.0924 0.7271  0.00
7 Cl 0.7426 0.6525 0.6525  0.01
8 Cl 0.2640 0.8345 0.8345  0.00
9 Cl 0.7712 0.7271 0.0924  0.00
10 Ga 0.6353 0.8178 0.8178  0.04
11 Ga 0.3647 0.1822 0.1822  0.04

Energy (eV per formula unit): -41.8


Compound: TlRhW2
Source: Alexandria via LeMat-Bulk
Functional: GGA-PBE
Structure: relaxed

Unit cell a=2.8334 b=2.8334 c=8.4906 alpha=90.00 beta=90.00 gamma=90.00
Positions (direct):
1 W 0.0000 0.0000 0.2259
2 W 0.0000 0.0000 0.7741
3 Rh 0.5000 0.5000 0.0000
4 Tl 0.5000 0.5000 0.5000

Energy above the lowest structure with this stoichiometry (eV/atom): 0.204
Energy relative to the elements (meV/atom): 559.2
Energy (eV per formula unit): -33.4


Compound: ZrV2Zn2
Source: Alexandria via LeMat-Bulk
Functional: GGA-PBE
Structure: relaxed

Unit cell a=7.6271 b=7.6271 c=2.7130 alpha=90.00 beta=90.00 gamma=90.00
Positions (direct):
1 Zn 0.1858 0.6858 0.5000
2 Zn 0.8142 0.3142 0.5000
3 Zn 0.3142 0.1858 0.5000
4 Zn 0.6858 0.8142 0.5000
5 V 0.8940 0.6060 0.0000
6 V 0.1060 0.3940 0.0000
7 V 0.3940 0.8940 0.0000
8 V 0.6060 0.1060 0.0000
9 Zr 0.0000 0.0000 0.0000
10 Zr 0.5000 0.5000 0.0000

Energy above the lowest structure with this stoichiometry (eV/atom): 0.016
Energy relative to the elements (meV/atom): 72.4
Energy (eV per formula unit): -29.0


Compound: ReSiIr2
Source: Alexandria via LeMat-Bulk
Functional: GGA-PBE
Structure: relaxed

Unit cell a=2.8591 b=2.8591 c=6.8855 alpha=90.00 beta=90.00 gamma=90.00
Positions (direct):
1 Ir 0.5000 0.5000 0.2678
2 Ir 0.0000 0.0000 0.9555
3 Si 0.5000 0.5000 0.7585
4 Re 0.0000 0.0000 0.5182

Energy (eV per formula unit): -36.7


Compound: NaReW
Source: Alexandria via LeMat-Bulk
Functional: GGA-PBE
Structure: relaxed

Unit cell a=3.1378 b=3.1378 c=12.1783 alpha=90.00 beta=90.00 gamma=90.00
Positions (direct):
1 W 0.5000 0.0000 0.4285
2 W 0.0000 0.5000 0.5715
3 Re 0.5000 0.0000 0.6842
4 Re 0.0000 0.5000 0.3158
5 Na 0.5000 0.0000 0.1260
6 Na 0.0000 0.5000 0.8740

Energy above the lowest structure with this stoichiometry (eV/atom): 0.000
Energy relative to the elements (meV/atom): 430.3
Energy (eV per formula unit): -25.4


Compound: ZnTcCl2
Source: Alexandria via LeMat-Bulk
Functional: GGA-PBE
Structure: relaxed

Unit cell a=10.1365 b=10.1365 c=10.1365 alpha=18.23 beta=18.23 gamma=18.23
Positions (direct):
1 Cl 0.9703 0.9703 0.9703
2 Cl 0.5297 0.5297 0.5297
3 Tc 0.2500 0.2500 0.2500
4 Zn 0.7500 0.7500 0.7500

Energy above the lowest structure with this stoichiometry (eV/atom): 0.317
Energy (eV per formula unit): -15.1


Compound: Sc8H4C3O
Source: Alexandria via LeMat-Bulk
Functional: GGA-PBE
Structure: relaxed

Unit cell a=6.6197 b=6.4493 c=6.6211 alpha=120.86 beta=119.99 gamma=90.00
Positions (direct):
1 C 0.5000 0.5000 0.0000
2 C 0.5000 0.5000 0.5000
3 C 0.0000 0.5000 0.5000
4 Sc 0.2451 0.7315 0.4902
5 Sc 0.2589 0.2686 0.0138
6 Sc 0.7549 0.2685 0.5098
7 Sc 0.7550 0.2686 0.0138
8 Sc 0.7411 0.7314 0.9862
9 Sc 0.2560 0.2678 0.5120
10 Sc 0.7440 0.7322 0.4880
11 Sc 0.2450 0.7314 0.9862
12 H 0.5000 0.0000 0.0000
13 H 0.0000 0.0000 0.0000
14 H 0.0000 0.0000 0.5000
15 H 0.5000 0.0000 0.5000
16 O 0.0000 0.5000 0.0000

Energy (eV per formula unit): -110.6


Compound: SrTiCo2Au
Source: Alexandria via LeMat-Bulk
Functional: GGA-PBE
Structure: relaxed

Unit cell a=4.5110 b=5.3285 c=4.5110 alpha=90.00 beta=90.00 gamma=90.00
Positions (direct):
1 Ti 0.5000 0.5000 0.5000
2 Sr 0.0000 0.0000 0.0000
3 Co 0.5000 0.0000 0.0000
4 Co 0.0000 0.0000 0.5000
5 Au 0.0000 0.5000 0.0000

Energy relative to the elements (meV/atom): 1840.3
Energy (eV per formula unit): -17.9